[1]
Compound: CuPRu
Source: Alexandria via LeMat-Bulk
Functional: PBE-GGA
Structure: relaxed

Results
- Total energy: -19.5 eV per cell
- Energy relative to the elements: -72 kJ/mol of formula units
- Total moment: 0.00 μB per formula unit
- DOS at the Fermi energy: 0.91 states/eV/f.u.
- Distance to the lowest polymorph of the same formula: 83 meV per atom

POSCAR file:
```
CuPRu
1.0
-3.010 -0.702 -2.344
0.587 -1.600 -3.484
-1.125 -3.651 -0.672
Cu P Ru
1 1 1
Direct
0.500 0.500 0.500
0.750 0.750 0.750
0.000 0.000 0.000
```

=====

[2]
Compound: Cu2PRu2
Source: Alexandria via LeMat-Bulk
Functional: PBE-GGA
Structure: relaxed

Results
- Total energy: -64.4 eV per cell
- Energy relative to the elements: -2 kJ/mol of formula units
- Total moment: 0.00 μB per formula unit
- DOS at the Fermi energy: 4.43 states/eV/f.u.

POSCAR file:
```
Cu2PRu2
1.0
-3.331 -3.639 -3.228
1.609 -4.516 3.431
-3.186 0.734 2.461
Ru Cu P
4 4 2
Direct
0.349 0.849 0.000
0.849 0.651 0.000
0.651 0.151 0.000
0.151 0.349 0.000
0.155 0.655 0.500
0.655 0.845 0.500
0.845 0.345 0.500
0.345 0.155 0.500
0.000 0.000 0.000
0.500 0.500 0.000
```

=====

[3]
Compound: CuPRu
Source: Alexandria via LeMat-Bulk
Functional: PBE-GGA
Structure: relaxed

Results
- Total energy: -39.5 eV per cell
- Energy relative to the elements: -96 kJ/mol of formula units
- Total moment: 0.00 μB per formula unit
- DOS at the Fermi energy: 0.61 states/eV/f.u.
- Distance to the lowest polymorph of the same formula: 0 meV per atom

POSCAR file:
```
CuPRu
1.0
-0.921 1.661 3.180
-2.895 -4.327 1.421
3.461 -1.695 1.888
Cu P Ru
2 2 2
Direct
0.000 0.090 0.640
0.500 0.910 0.140
0.000 0.720 0.410
0.500 0.280 0.910
0.000 0.541 0.901
0.500 0.459 0.401
```

=====

[4]
Compound: CuPRu3
Source: Alexandria via LeMat-Bulk
Functional: PBE-GGA
Structure: relaxed

Results
- Total energy: -34.5 eV per cell
- Energy relative to the elements: 273 kJ/mol of formula units
- Total moment: 1.90 μB per formula unit
- DOS at the Fermi energy: 5.10 states/eV/f.u.
- Distance to the lowest polymorph of the same formula: 0 meV per atom

POSCAR file:
```
CuPRu3
1.0
-4.186 0.090 -1.083
-0.168 -4.312 0.290
-1.074 0.323 4.177
Ru Cu P
3 1 1
Direct
0.000 0.500 0.000
0.000 0.000 0.500
0.500 0.000 0.000
0.500 0.500 0.500
0.000 0.000 0.000
```